No. 1
Density functional theory data (PBE) for DyFeB2Os after structural relaxation.

abc: 3.756 3.756 9.600
angles: 90.00 90.00 90.00
Space group I-4m2 (No. 119)
One atom of each set of equivalent atoms:
Dy 0.000 0.000 0.000
Fe 0.000 0.500 0.250
B 0.000 0.000 0.345
Os 0.000 0.500 0.750

Computed properties:
Energy relative to the elements ... -0.419 eV per atom


No. 2
Density functional theory data (PBE) for Dy2FeB2Ru5 after structural relaxation.

abc: 9.536 9.536 3.091
angles: 90.00 90.00 90.00
Space group P4/mbm (No. 127)
One atom of each set of equivalent atoms:
Dy 0.176 0.324 0.000
Fe 0.000 0.000 0.000
B 0.123 0.623 0.000
Ru 0.000 0.500 0.500
Ru 0.070 0.786 0.500

Computed properties:
Energy relative to the elements ... -0.348 eV per atom


No. 3
Density functional theory data (PBE) for DyFeB2Ru after structural relaxation.

abc: 3.742 3.742 9.533
angles: 90.00 90.00 90.00
Space group I-4m2 (No. 119)
One atom of each set of equivalent atoms:
Dy 0.000 0.000 0.000
Fe 0.000 0.500 0.250
B 0.000 0.000 0.346
Ru 0.000 0.500 0.750

Computed properties:
Energy relative to the elements ... -0.433 eV per atom


No. 4
Density functional theory data (PBE) for Dy2Fe5SiB2 after structural relaxation.

abc: 9.001 9.001 2.986
angles: 90.00 90.00 90.00
Space group P4/mbm (No. 127)
One atom of each set of equivalent atoms:
Dy 0.177 0.323 0.000
Fe 0.000 0.500 0.500
Fe 0.066 0.783 0.500
Si 0.000 0.000 0.000
B 0.120 0.620 0.000

Computed properties:
Energy relative to the elements, uncorrected ... -0.227 eV per atom


Ordered V results: 13.54 14.05 13.35 12.10; unit A^3/atom.